Computed, not measured: a relaxed structure of Pr7Co2Cu2 at the PBE level of DFT.

Geometry as CIF:
```
data_Pr7Co2Cu2
_chemical_formula_sum 'Pr14 Co4 Cu4'
_space_group_name_H-M_alt 'C m m m'
_space_group_IT_number 65
_space_group_name_Hall '-C 2 2'
_cell_length_a 7.521
_cell_length_b 11.569
_cell_length_c 7.045
_cell_angle_alpha 90.00
_cell_angle_beta 90.00
_cell_angle_gamma 90.00
loop_
_atom_site_label
_atom_site_type_symbol
_atom_site_fract_x
_atom_site_fract_y
_atom_site_fract_z
Pr1 Pr 0.000 0.000 0.000
Pr2 Pr 0.000 0.500 0.252
Pr3 Pr 0.250 0.250 0.259
Co1 Co 0.000 0.309 0.000
Cu1 Cu 0.161 0.000 0.500
```

Values from the calculation:
The formation energy comes out at 0.044 eV/atom. The total magnetic moment comes out at 0.00 Bohr magnetons per cell.

---

Computed, not measured: a relaxed structure of Dy3TmBi at the PBE level of DFT.

Geometry as CIF:
```
data_Dy3TmBi
_chemical_formula_sum 'Dy12 Tm4 Bi4'
_space_group_name_H-M_alt 'C 1 2/m 1'
_space_group_IT_number 12
_space_group_name_Hall '-C 2y'
_cell_length_a 12.073
_cell_length_b 5.749
_cell_length_c 9.102
_cell_angle_alpha 90.00
_cell_angle_beta 90.78
_cell_angle_gamma 90.00
loop_
_atom_site_label
_atom_site_type_symbol
_atom_site_fract_x
_atom_site_fract_y
_atom_site_fract_z
Dy1 Dy 0.086 0.000 0.339
Dy2 Dy 0.104 0.500 0.660
Dy3 Dy 0.107 0.500 0.100
Tm1 Tm 0.118 0.000 0.921
Bi1 Bi 0.239 0.000 0.626
```

Values from the calculation:
The formation energy comes out at -0.129 eV/atom. The total magnetic moment comes out at 0.00 Bohr magnetons per cell.

---

Computed, not measured: a relaxed structure of CeSm6ErTm2 at the PBE level of DFT.

Geometry as CIF:
```
data_CeSm6ErTm2
_chemical_formula_sum 'Ce2 Sm12 Er2 Tm4'
_space_group_name_H-M_alt 'C 1 2/m 1'
_space_group_IT_number 12
_space_group_name_Hall '-C 2y'
_cell_length_a 11.298
_cell_length_b 6.950
_cell_length_c 8.788
_cell_angle_alpha 90.00
_cell_angle_beta 104.29
_cell_angle_gamma 90.00
loop_
_atom_site_label
_atom_site_type_symbol
_atom_site_fract_x
_atom_site_fract_y
_atom_site_fract_z
Ce1 Ce 0.000 0.000 0.000
Sm1 Sm 0.127 0.000 0.419
Sm2 Sm 0.171 0.265 0.799
Er1 Er 0.000 0.500 0.500
Tm1 Tm 0.090 0.500 0.167
```

Values from the calculation:
The formation energy comes out at 0.247 eV/atom. The total magnetic moment comes out at 2.84 Bohr magnetons per cell.